(1)
A relaxed SrLiYTa2 crystal, computed with GGA-PBE.

Its electronic total energy is -0.204 hartree per atom. The total magnetic moment is 0.00 μB per atom. The value obtained for the volume is 24.1 Å³/atom. As for the crystal system: tetragonal. The formation enthalpy at 0 K comes out at 27.6 kcal/mol of atoms.

The structure belongs to space group P4/mmm (No. 123); the cell edges are 4.769, 4.769 and 5.301 Å and the angles 90.00°, 90.00° and 90.00°. The distinct sites, in fractional coordinates, are Sr at (0.000, 0.000, 0.000), Li at (0.500, 0.500, 0.500), Y at (0.500, 0.500, 0.000) and Ta at (0.000, 0.500, 0.500).

***

(2)
A relaxed Sr2LiZrTa crystal, computed with GGA-PBE.

Its electronic total energy is -0.150 hartree per atom. The total magnetic moment is 0.00 μB per atom. The value obtained for the volume is 39.3 Å³/atom. As for the crystal system: tetragonal. The formation enthalpy at 0 K comes out at 24.6 kcal/mol of atoms.

The structure belongs to space group P4/mmm (No. 123); the cell edges are 6.283, 6.283 and 4.983 Å and the angles 90.00°, 90.00° and 90.00°. The distinct sites, in fractional coordinates, are Sr at (0.000, 0.500, 0.000), Li at (0.000, 0.000, 0.500), Zr at (0.500, 0.500, 0.000) and Ta at (0.500, 0.500, 0.500).

***

(3)
A relaxed SrLi2Tb crystal, computed with GGA-PBE.

Its electronic total energy is -0.087 hartree per atom. The total magnetic moment is 0.00 μB per atom. The value obtained for the volume is 30.8 Å³/atom. As for the crystal system: cubic. The formation enthalpy at 0 K comes out at 4.2 kcal/mol of atoms.

The structure belongs to space group Fm-3m (No. 225); the cell edges are 7.901, 7.901 and 7.901 Å and the angles 90.00°, 90.00° and 90.00°. The distinct sites, in fractional coordinates, are Sr at (0.000, 0.000, 0.000), Li at (0.250, 0.250, 0.250) and Tb at (0.000, 0.000, 0.500).

***

(4)
A relaxed SrLi2Tb crystal, computed with GGA-PBE.

Its electronic total energy is -0.088 hartree per atom. The total magnetic moment is 0.00 μB per atom. The value obtained for the volume is 31.0 Å³/atom. As for the crystal system: tetragonal. The formation enthalpy at 0 K comes out at 3.1 kcal/mol of atoms.

The structure belongs to space group P4/mmm (No. 123); the cell edges are 3.923, 3.923 and 8.051 Å and the angles 90.00°, 90.00° and 90.00°. The distinct sites, in fractional coordinates, are Sr at (0.000, 0.000, 0.000), Li at (0.500, 0.500, 0.281) and Tb at (0.000, 0.000, 0.500).

***

(5)
A relaxed SrLi4Tb crystal, computed with GGA-PBE.

Its electronic total energy is -0.081 hartree per atom. The total magnetic moment is 0.00 μB per atom. The value obtained for the volume is 27.4 Å³/atom. As for the crystal system: cubic. The formation enthalpy at 0 K comes out at 2.8 kcal/mol of atoms.

The structure belongs to space group F-43m (No. 216); the cell edges are 8.699, 8.699 and 8.699 Å and the angles 90.00°, 90.00° and 90.00°. The distinct sites, in fractional coordinates, are Sr at (0.000, 0.000, 0.000), Li at (0.124, 0.124, 0.624) and Tb at (0.250, 0.250, 0.250).

***

(6)
A relaxed Sr2LiTb crystal, computed with GGA-PBE.

Its electronic total energy is -0.078 hartree per atom. The total magnetic moment is 0.16 μB per atom. The value obtained for the volume is 40.0 Å³/atom. As for the crystal system: trigonal. The formation enthalpy at 0 K comes out at 8.1 kcal/mol of atoms.

The structure belongs to space group R-3m (No. 166, hexagonal axes); the cell edges are 3.7731, 3.7731 and 38.9228 Å and the angles 90.00°, 90.00° and 120.00°. The distinct sites, in fractional coordinates, are Sr at (0.0000, 0.0000, 0.0911), Li at (0.0000, 0.0000, 0.5000) and Tb at (0.0000, 0.0000, 0.0000).

***

(7)
A relaxed Sr2LiTb crystal, computed with GGA-PBE.

Its electronic total energy is -0.085 hartree per atom. The total magnetic moment is 0.00 μB per atom. The value obtained for the volume is 39.2 Å³/atom. As for the crystal system: tetragonal. The formation enthalpy at 0 K comes out at 3.7 kcal/mol of atoms.

The structure belongs to space group P4/mmm (No. 123); the cell edges are 4.245, 4.245 and 8.690 Å and the angles 90.00°, 90.00° and 90.00°. The distinct sites, in fractional coordinates, are Sr at (0.000, 0.000, 0.236), Li at (0.500, 0.500, 0.000) and Tb at (0.500, 0.500, 0.500).

***

(8)
A relaxed Sr2Li16Tb crystal, computed with GGA-PBE.

Its electronic total energy is -0.073 hartree per atom. The total magnetic moment is 0.00 μB per atom. The value obtained for the volume is 24.6 Å³/atom. As for the crystal system: trigonal. The formation enthalpy at 0 K comes out at 1.1 kcal/mol of atoms.

The structure belongs to space group R3m (No. 160, hexagonal axes); the cell edges are 10.3495, 10.3495 and 15.1217 Å and the angles 90.00°, 90.00° and 120.00°. The distinct sites, in fractional coordinates, are Sr at (0.0000, 0.0000, 0.0000), Sr at (0.0000, 0.0000, 0.3066), Li at (0.0000, 0.0000, 0.7608), Li at (0.0017, 0.5008, 0.8091), Li at (0.0072, 0.5036, 0.5032), Li at (0.0395, 0.3720, 0.3247), Li at (0.1725, 0.3449, 0.4883) and Tb at (0.0000, 0.0000, 0.5586).

***

Question: Which value of total magnetic moment does entry 2 give?
Answer: 0.00 μB per atom